Record 1
Compound: Cs2AlOsBr6
Source: Alexandria
Functional: PBE
Structure: optimized geometry

* spin magnetization: 1.00 μB per cell
* E_form (uncorrected): -0.771 eV per atom

Cell: 7.750 7.750 7.745 Å, 59.98 59.98 90.00°
Each line ends with the local moment (μB).
Atoms (fractional coordinates):
Os 0.000 0.000 0.000  0.77
Br 0.234 0.234 0.000  0.02
Br 0.766 0.234 0.000  0.02
Br 0.766 0.766 0.468  0.02
Cs 0.250 0.750 0.500  0.00
Cs 0.750 0.250 0.500  0.00
Al 0.500 0.500 0.000  -0.01
Br 0.234 0.234 0.532  0.02
Br 0.234 0.766 0.000  0.02
Br 0.766 0.766 0.000  0.02

Record 2
Compound: Li2PmHg3
Source: Alexandria
Functional: PBE
Structure: optimized geometry

* spin magnetization: 0.00 μB per cell
* calculated formation energy: -0.391 eV/atom

Cell: 4.707 4.707 13.804 Å, 90.00 90.00 120.00°
Atoms (fractional coordinates):
Hg 0.000 0.000 0.500
Hg 0.333 0.667 0.370
Pm 0.000 0.000 0.750
Hg 0.667 0.333 0.870
Hg 0.667 0.333 0.630
Li 0.333 0.667 0.930
Li 0.333 0.667 0.570
Li 0.667 0.333 0.430
Hg 0.000 0.000 0.000
Hg 0.333 0.667 0.130
Li 0.667 0.333 0.070
Pm 0.000 0.000 0.250

Record 3
Compound: TcAgHg2
Source: Alexandria
Functional: PBE
Structure: optimized geometry

* spin magnetization: 0.00 μB per cell
* offset from the most stable computed form: 192 meV per atom
* calculated formation energy: 0.624 eV/atom

Cell: 5.752 5.752 5.752 Å, 150.02 126.00 63.00°
Atoms (fractional coordinates):
Ag 0.750 0.250 0.500
Hg 0.004 0.004 0.000
Tc 0.250 0.750 0.500
Hg 0.496 0.496 0.000

Record 4
Compound: Sm2ErOs
Source: Alexandria
Functional: PBE
Structure: optimized geometry

* spin magnetization: 0.00 μB per cell
* offset from the most stable computed form: 0 meV per atom
* calculated formation energy: -0.193 eV/atom

Cell: 6.405 7.428 9.294 Å, 90.00 90.00 90.00°
Atoms (fractional coordinates):
Sm 0.829 0.324 0.563
Os 0.034 0.384 0.250
Sm 0.671 0.824 0.937
Er 0.863 0.042 0.250
Sm 0.829 0.324 0.937
Sm 0.171 0.676 0.437
Er 0.363 0.458 0.750
Os 0.534 0.116 0.750
Os 0.966 0.616 0.750
Sm 0.171 0.676 0.063
Os 0.466 0.884 0.250
Sm 0.329 0.176 0.437
Sm 0.329 0.176 0.063
Er 0.637 0.542 0.250
Sm 0.671 0.824 0.563
Er 0.137 0.958 0.750